A plane-wave DFT calculation with PBE was carried out for LaPaCu10 after structural relaxation.

Properties
- Symmetry: Pmmm, No. 47
- Energy of formation: -0.81 eV per formula unit
- Total moment: 0.71 μB per cell

Unit cell a=4.112 b=5.123 c=8.823 alpha=90.00 beta=90.00 gamma=90.00
Each line ends with the local moment (μB).
Atoms (fractional coordinates):
La 0.000 0.000 0.000  0.02
Pa 0.000 0.500 0.500  0.44
Cu 0.000 0.000 0.339  0.01
Cu 0.000 0.500 0.826  0.01
Cu 0.000 0.500 0.174  0.01
Cu 0.000 0.000 0.661  0.01
Cu 0.500 0.000 0.500  0.01
Cu 0.500 0.500 0.000  0.01
Cu 0.500 0.256 0.259  0.01
Cu 0.500 0.744 0.741  0.01
Cu 0.500 0.744 0.259  0.01
Cu 0.500 0.256 0.741  0.01



A plane-wave DFT calculation with PBE was carried out for FeNi5Rh after structural relaxation.

Properties
- Symmetry: Cmmm, No. 65
- Distance to the lowest polymorph of the same formula: 0 meV per atom
- Energy of formation: 1.09 eV per formula unit
- Total moment: 6.43 μB per cell

Unit cell a=4.334 b=4.334 c=5.002 alpha=90.00 beta=90.00 gamma=109.93
Each line ends with the local moment (μB).
Atoms (fractional coordinates):
Fe 0.500 0.500 0.500  3.06
Ni 0.500 0.000 0.250  0.63
Ni 0.000 0.500 0.250  0.63
Ni 0.000 0.000 0.500  0.51
Ni 0.000 0.500 0.750  0.63
Ni 0.500 0.000 0.750  0.63
Rh 0.000 0.000 0.000  0.50



A plane-wave DFT calculation with PBE was carried out for CeNd12Sm7 after structural relaxation.

Properties
- Symmetry: R-3, No. 148
- Distance to the lowest polymorph of the same formula: 0 meV per atom
- Energy of formation: 2.61 eV per formula unit
- Total moment: 1.09 μB per cell

Unit cell a=9.820 b=9.820 c=9.820 alpha=110.60 beta=110.60 gamma=110.60
Each line ends with the local moment (μB).
Atoms (fractional coordinates):
Ce 0.000 0.000 0.000  0.87
Nd 0.905 0.269 0.845  0.00
Nd 0.731 0.155 0.095  0.00
Nd 0.583 0.078 0.373  -0.01
Nd 0.922 0.627 0.417  -0.01
Nd 0.155 0.095 0.731  0.00
Nd 0.627 0.417 0.922  -0.01
Nd 0.373 0.583 0.078  -0.01
Nd 0.845 0.905 0.269  0.00
Nd 0.078 0.373 0.583  -0.01
Nd 0.417 0.922 0.627  -0.01
Nd 0.269 0.845 0.905  0.00
Nd 0.095 0.731 0.155  0.00
Sm 0.843 0.541 0.714  0.01
Sm 0.459 0.286 0.157  0.01
Sm 0.286 0.157 0.459  0.01
Sm 0.500 0.500 0.500  0.00
Sm 0.714 0.843 0.541  0.01
Sm 0.541 0.714 0.843  0.01
Sm 0.157 0.459 0.286  0.01



A plane-wave DFT calculation with PBE was carried out for ErPa3Te6 after structural relaxation.

Properties
- Symmetry: Cmmm, No. 65
- Raw formation energy: -0.482 eV per atom
- Total moment: 5.27 μB per cell

Unit cell a=4.373 b=9.578 c=9.578 alpha=108.56 beta=90.00 gamma=90.00
Each line ends with the local moment (μB).
Atoms (fractional coordinates):
Er 0.000 0.500 0.500  0.14
Pa 0.500 0.500 0.000  1.38
Pa 0.000 0.000 0.000  1.50
Pa 0.500 0.000 0.500  1.38
Te 0.000 0.101 0.333  -0.04
Te 0.000 0.899 0.667  -0.04
Te 0.000 0.333 0.101  -0.04
Te 0.000 0.667 0.899  -0.04
Te 0.500 0.646 0.354  -0.03
Te 0.500 0.354 0.646  -0.03



A plane-wave DFT calculation with PBE was carried out for SrTmAl2 after structural relaxation.

Properties
- Symmetry: Fm-3m, No. 225
- Distance to the lowest polymorph of the same formula: 92 meV per atom
- Energy of formation: -0.59 eV per formula unit
- Total moment: 0.00 μB per cell

Unit cell a=5.281 b=5.281 c=5.281 alpha=60.00 beta=60.00 gamma=60.00
Atoms (fractional coordinates):
Sr 0.500 0.500 0.500
Tm 0.000 0.000 0.000
Al 0.250 0.250 0.250
Al 0.750 0.750 0.750



A plane-wave DFT calculation with PBE was carried out for Tb2Pr2Y4Tm after structural relaxation.

Properties
- Symmetry: C2/m, No. 12
- Energy of formation: -0.01 eV per formula unit
- Total moment: 0.00 μB per cell

Unit cell a=3.626 b=9.570 c=9.628 alpha=115.17 beta=90.00 gamma=100.92
Atoms (fractional coordinates):
Tb 0.853 0.705 0.337
Tb 0.147 0.295 0.663
Pr 0.335 0.671 0.002
Pr 0.665 0.329 0.998
Y 0.815 0.629 0.665
Y 0.185 0.371 0.335
Y 0.519 0.039 0.334
Y 0.481 0.961 0.666
Tm 0.000 0.000 0.000



Summary of V in Å³/atom
15.49; 12.62; 34.84; 38.03; 26.04; 32.85
(order as listed above)